No. 1
Computed, not measured: K2LiClF6 after structural relaxation at the PBE-GGA level of DFT.

It has space group I4/mmm (No. 139), with a = 5.6166 Å, b = 5.6166 Å, c = 9.6847 Å, α = 90.00°, β = 90.00° and γ = 90.00°. The distinct sites, in fractional coordinates, are K at (0.0000, 0.5000, 0.2500), Li at (0.0000, 0.0000, 0.0000), Cl at (0.0000, 0.0000, 0.5000), F at (0.0000, 0.0000, 0.1952) and F at (0.2298, 0.2298, 0.5000).

The formation energy (no corrections) is -1.9459 eV/atom. The calculation puts the total energy at -73.29 eV per cell.

No. 2
Computed, not measured: K2MgClF3 after structural relaxation at the PBE-GGA level of DFT.

It has space group Immm (No. 71), with a = 4.0789 Å, b = 4.9611 Å, c = 13.4909 Å, α = 90.00°, β = 90.00° and γ = 90.00°. The distinct sites, in fractional coordinates, are K at (0.0000, 0.0000, 0.1610), Mg at (0.0000, 0.0000, 0.5000), Cl at (0.0000, 0.5000, 0.5000), F at (0.0000, 0.0000, 0.3502) and F at (0.0000, 0.5000, 0.0000).

The formation energy (no corrections) is -2.7276 eV/atom. The calculation puts the total energy at -60.69 eV per cell.

No. 3
Computed, not measured: K2MgCl3F after structural relaxation at the PBE-GGA level of DFT.

It has space group Immm (No. 71), with a = 3.9978 Å, b = 5.0929 Å, c = 16.4226 Å, α = 90.00°, β = 90.00° and γ = 90.00°. The distinct sites, in fractional coordinates, are K at (0.0000, 0.0000, 0.1483), Mg at (0.0000, 0.0000, 0.5000), Cl at (0.0000, 0.0000, 0.3419), Cl at (0.0000, 0.5000, 0.5000) and F at (0.0000, 0.5000, 0.0000).

The formation energy (no corrections) is -2.2466 eV/atom. The calculation puts the total energy at -53.85 eV per cell.

No. 4
Computed, not measured: KMgClF2 after structural relaxation at the PBE-GGA level of DFT.

It has space group P4/mmm (No. 123), with a = 4.1335 Å, b = 4.1335 Å, c = 5.0753 Å, α = 90.00°, β = 90.00° and γ = 90.00°. The distinct sites, in fractional coordinates, are K at (0.0000, 0.0000, 0.0000), Mg at (0.5000, 0.5000, 0.5000), Cl at (0.5000, 0.5000, 0.0000) and F at (0.0000, 0.5000, 0.5000).

The formation energy (no corrections) is -2.7553 eV/atom. The calculation puts the total energy at -22.06 eV per cell.

No. 5
Computed, not measured: K2MgCl2F2 after structural relaxation at the PBE-GGA level of DFT.

It has space group I4/mmm (No. 139), with a = 4.2455 Å, b = 4.2455 Å, c = 15.7857 Å, α = 90.00°, β = 90.00° and γ = 90.00°. The distinct sites, in fractional coordinates, are K at (0.0000, 0.0000, 0.1302), Mg at (0.0000, 0.0000, 0.5000), Cl at (0.0000, 0.0000, 0.3404) and F at (0.0000, 0.5000, 0.0000).

The formation energy (no corrections) is -2.5549 eV/atom. The calculation puts the total energy at -58.22 eV per cell.